No. 1
This record from the Alexandria database describes crystalline Pm3Sm2Y4 at its relaxed geometry. The functional is PBE.

Output
ΔE to the lowest computed polymorph   77 meV/atom
Formation energy from the elements   0.0935 eV/atom
ρ   6.07 g/cm3
Fermi-level density of states   26.60 states/eV per cell

abc: 10.1858 10.1858 6.1587
angles: 95.33 95.33 70.21
Sites, in units of the cell vectors:
Pm: 0.0984 0.9016 0.7500
Pm: 0.2332 0.4355 0.9112
Pm: 0.4355 0.2332 0.4112
Pm: 0.5645 0.7668 0.5888
Pm: 0.7668 0.5645 0.0888
Pm: 0.9016 0.0984 0.2500
Sm: 0.0197 0.7399 0.1782
Sm: 0.2601 0.9803 0.3218
Sm: 0.7399 0.0197 0.6782
Sm: 0.9803 0.2601 0.8218
Y: 0.0804 0.3505 0.3514
Y: 0.3140 0.5904 0.4832
Y: 0.3505 0.0804 0.8514
Y: 0.4096 0.6860 0.0168
Y: 0.5904 0.3140 0.9832
Y: 0.6495 0.9196 0.1485
Y: 0.6860 0.4096 0.5168
Y: 0.9196 0.6495 0.6486

***

No. 2
This record from the Alexandria database describes crystalline Pm6Sm2Y at its relaxed geometry. The functional is PBE.

Output
ΔE to the lowest computed polymorph   0 meV/atom
Formation energy from the elements   0.0531 eV/atom
ρ   6.87 g/cm3
Fermi-level density of states   13.47 states/eV per cell

abc: 9.9454 9.9454 3.5615
angles: 90.00 90.00 120.19
Sites, in units of the cell vectors:
Pm: 0.0006 0.3327 0.0000
Pm: 0.3320 0.3320 0.0000
Pm: 0.3327 0.0006 0.0000
Pm: 0.6673 0.9994 0.0000
Pm: 0.6680 0.6680 0.0000
Pm: 0.9994 0.6673 0.0000
Sm: 0.3333 0.6667 0.5000
Sm: 0.6667 0.3333 0.5000
Y: 0.0000 0.0000 0.5000

***

> Among the records above, which one has the lowest ρ?

Pm3Sm2Y4

***

Copy entry 2 word for word.
This record from the Alexandria database describes crystalline Pm6Sm2Y at its relaxed geometry. The functional is PBE.

Output
ΔE to the lowest computed polymorph   0 meV/atom
Formation energy from the elements   0.0531 eV/atom
ρ   6.87 g/cm3
Fermi-level density of states   13.47 states/eV per cell

abc: 9.9454 9.9454 3.5615
angles: 90.00 90.00 120.19
Sites, in units of the cell vectors:
Pm: 0.0006 0.3327 0.0000
Pm: 0.3320 0.3320 0.0000
Pm: 0.3327 0.0006 0.0000
Pm: 0.6673 0.9994 0.0000
Pm: 0.6680 0.6680 0.0000
Pm: 0.9994 0.6673 0.0000
Sm: 0.3333 0.6667 0.5000
Sm: 0.6667 0.3333 0.5000
Y: 0.0000 0.0000 0.5000